Compound: MoPHS2
Source: Alexandria
Functional: GGA-PBE
Structure: relaxed

Structure (POSCAR):
```
MoPHS2
1.0
4.419 0.000 0.000
0.000 4.419 0.000
0.000 0.000 3.166
Mo P H S
1 1 1 2
Cartesian
0.000 0.000 0.000
2.209 2.209 0.000
2.209 2.209 1.583
0.000 2.209 1.583
2.209 0.000 1.583
```

Output
- Symmetry: P4/mmm (123)
- Volume: 12.4 A^3/atom
- Energy: -4.927 eV/atom

Compound: SnMo2PH
Source: Alexandria
Functional: GGA-PBE
Structure: relaxed

Structure (POSCAR):
```
SnMo2PH
1.0
4.778 0.000 0.000
0.000 4.778 0.000
0.000 0.000 3.276
Sn Mo P H
1 2 1 1
Cartesian
0.000 0.000 0.000
0.000 2.389 1.638
2.389 0.000 1.638
2.389 2.389 1.638
2.389 2.389 0.000
```

Output
- Symmetry: P4/mmm (123)
- Volume: 15.0 A^3/atom
- Energy: -6.466 eV/atom

Compound: SrMoPH2
Source: Alexandria
Functional: GGA-PBE
Structure: relaxed

Structure (POSCAR):
```
SrMoPH2
1.0
4.000 0.000 0.000
0.000 4.000 0.000
0.000 0.000 7.261
Sr Mo P H
1 1 1 2
Cartesian
0.000 0.000 0.000
0.000 0.000 3.631
2.000 2.000 0.000
0.000 2.000 3.631
2.000 0.000 3.631
```

Output
- Symmetry: P4/mmm (123)
- Volume: 23.2 A^3/atom
- Energy: -4.197 eV/atom

Compound: VMoP2H
Source: Alexandria
Functional: GGA-PBE
Structure: relaxed

Structure (POSCAR):
```
VMoP2H
1.0
4.207 0.000 0.000
0.000 4.207 0.000
0.000 0.000 3.153
V Mo P H
1 1 2 1
Cartesian
0.000 0.000 0.000
2.103 2.103 0.000
0.000 2.103 1.577
2.103 0.000 1.577
0.000 0.000 1.577
```

Output
- Symmetry: P4/mmm (123)
- Volume: 11.2 A^3/atom
- Energy: -6.886 eV/atom

Compound: PaMo2H
Source: Alexandria
Functional: GGA-PBE
Structure: relaxed

Structure (POSCAR):
```
PaMo2H
1.0
1.518 0.876 7.456
-1.518 0.876 7.456
0.000 -1.752 7.456
Pa Mo H
1 2 1
Cartesian
0.000 0.000 0.000
0.000 0.000 2.670
0.000 0.000 19.697
0.000 0.000 11.183
```

Output
- Symmetry: R-3m (166)
- Volume: 14.9 A^3/atom
- Energy: -8.234 eV/atom

Compound: PaMoH2
Source: Alexandria
Functional: GGA-PBE
Structure: relaxed

Structure (POSCAR):
```
PaMoH2
1.0
1.514 0.874 5.693
-1.514 0.874 5.693
0.000 -1.748 5.693
Pa Mo H
1 1 2
Cartesian
0.000 0.000 0.000
0.000 0.000 8.539
0.000 0.000 3.790
0.000 0.000 13.289
```

Output
- Symmetry: R-3m (166)
- Volume: 11.3 A^3/atom
- Energy: -6.764 eV/atom

Compound: PaMoH3
Source: Alexandria
Functional: GGA-PBE
Structure: relaxed

Structure (POSCAR):
```
PaMoH3
1.0
3.474 0.000 0.000
-0.275 3.467 0.000
-0.518 -0.551 4.261
Pa Mo H
1 1 3
Cartesian
0.000 0.000 0.000
1.309 1.424 2.187
1.064 1.165 4.044
1.495 3.183 1.577
3.046 1.743 1.568
```

Output
- ΔE to the lowest computed polymorph: 0.000 eV per atom
- Symmetry: P1 (1)
- Volume: 10.3 A^3/atom

Compound: PaMo2H7
Source: Alexandria
Functional: GGA-PBE
Structure: relaxed

Structure (POSCAR):
```
PaMo2H7
1.0
2.782 -4.309 0.000
2.782 4.309 0.000
0.000 0.000 3.682
Pa Mo H
1 2 7
Cartesian
0.000 0.000 0.000
2.782 1.765 1.841
2.782 -1.765 1.841
1.015 1.042 1.841
2.782 2.037 0.000
1.015 -1.042 1.841
2.782 0.000 1.841
4.548 1.042 1.841
2.782 -2.037 0.000
4.548 -1.042 1.841
```

Output
- Symmetry: Cmmm (65)
- Volume: 8.8 A^3/atom
- Energy: -5.459 eV/atom

Compound: PaMoH4
Source: Alexandria
Functional: GGA-PBE
Structure: relaxed

Structure (POSCAR):
```
PaMoH4
1.0
3.269 0.000 0.000
0.000 3.269 0.000
0.000 0.000 5.067
Pa Mo H
1 1 4
Cartesian
0.000 0.000 0.000
1.634 1.634 2.534
0.000 1.634 1.553
0.000 1.634 3.514
1.634 0.000 1.553
1.634 0.000 3.514
```

Output
- Symmetry: P4/mmm (123)
- Volume: 9.0 A^3/atom
- Energy: -5.789 eV/atom

Compound: Pa3Mo5H12
Source: Alexandria
Functional: GGA-PBE
Structure: relaxed

Structure (POSCAR):
```
Pa3Mo5H12
1.0
-5.850 5.850 5.850
5.850 -5.850 5.850
5.850 5.850 -5.850
Pa Mo H
12 20 48
Cartesian
2.925 1.463 0.000
5.850 2.925 -1.463
1.463 0.000 2.925
7.313 0.000 2.925
0.000 2.925 1.463
2.925 -1.463 5.850
2.925 7.313 0.000
5.850 2.925 4.388
-1.463 5.850 2.925
4.388 5.850 2.925
0.000 2.925 7.313
2.925 4.388 5.850
0.000 0.000 0.000
2.925 2.925 -2.925
2.925 -2.925 2.925
5.850 0.000 0.000
8.776 1.463 0.000
5.850 -2.925 4.388
4.388 5.850 -2.925
4.388 0.000 2.925
2.925 4.388 0.000
5.850 2.925 1.463
-2.925 2.925 2.925
0.000 5.850 0.000
0.000 0.000 5.850
2.925 2.925 2.925
0.000 2.925 4.388
2.925 1.463 5.850
1.463 5.850 2.925
1.463 0.000 8.776
0.000 8.776 1.463
-2.925 4.388 5.850
1.682 -0.316 0.735
7.094 3.660 -3.242
5.534 -0.735 1.682
9.092 -1.243 2.190
7.532 0.316 0.735
7.094 -2.190 3.242
0.735 1.682 -0.316
8.041 2.609 -1.243
3.660 3.242 -1.243
5.115 1.682 0.316
-0.316 0.735 1.682
3.242 -1.243 3.660
5.534 5.115 -1.682
3.242 1.243 2.190
5.115 -1.682 5.534
3.660 -3.242 7.094
2.190 3.242 1.243
6.585 4.169 0.316
1.682 5.534 -0.735
7.094 2.190 2.609
3.242 7.094 -2.190
5.534 0.735 4.169
1.243 2.190 3.242
1.682 0.316 5.115
4.169 5.534 0.735
4.607 3.660 2.609
0.316 5.115 1.682
2.609 -1.243 8.041
-1.243 3.660 3.242
4.169 0.316 6.585
-0.735 1.682 5.534
3.660 2.609 4.607
2.190 9.092 -1.243
0.735 7.532 0.316
2.609 4.607 3.660
0.316 0.735 7.532
2.609 7.094 2.190
6.167 5.115 4.169
0.735 4.169 5.534
2.190 2.609 7.094
-2.190 3.242 7.094
5.115 4.169 6.167
-1.243 8.041 2.609
-1.682 5.534 5.115
-3.242 7.094 3.660
0.316 6.585 4.169
-1.243 2.190 9.092
4.169 6.167 5.115
```

Output
- Symmetry: Ia-3d (230)
- Volume: 10.0 A^3/atom
- Energy: -6.237 eV/atom

Compound: PaMoH3
Source: Alexandria
Functional: GGA-PBE
Structure: relaxed

Structure (POSCAR):
```
PaMoH3
1.0
3.712 0.000 0.000
0.000 3.712 0.000
0.000 0.000 3.712
Pa Mo H
1 1 3
Cartesian
0.000 0.000 0.000
1.856 1.856 1.856
0.000 1.856 1.856
1.856 0.000 1.856
1.856 1.856 0.000
```

Output
- ΔE to the lowest computed polymorph: 0.024 eV per atom
- Symmetry: Pm-3m (221)
- Volume: 10.2 A^3/atom

Compound: MoH2Pb
Source: Alexandria
Functional: GGA-PBE
Structure: relaxed

Structure (POSCAR):
```
MoH2Pb
1.0
0.000 2.932 2.932
2.932 0.000 2.932
2.932 2.932 0.000
Mo H Pb
1 2 1
Cartesian
0.000 0.000 0.000
1.466 1.466 1.466
4.398 4.398 4.398
2.932 2.932 2.932
```

Output
- ΔE to the lowest computed polymorph: 0.819 eV per atom
- Symmetry: Fm-3m (225)
- Volume: 12.6 A^3/atom

Compound: MoH2Pb
Source: Alexandria
Functional: GGA-PBE
Structure: relaxed

Structure (POSCAR):
```
MoH2Pb
1.0
-2.967 2.967 2.832
2.967 -2.967 2.832
2.967 2.967 -2.832
Mo H Pb
2 4 2
Cartesian
0.000 0.000 0.000
0.000 2.967 1.416
4.450 0.842 -0.708
0.842 1.483 0.708
-1.483 2.125 2.124
2.125 1.483 3.540
2.967 0.000 1.416
0.000 0.000 2.832
```

Output
- ΔE to the lowest computed polymorph: 0.000 eV per atom
- Symmetry: I-42d (122)
- Volume: 12.5 A^3/atom

Compound: Mo2HPb
Source: Alexandria
Functional: GGA-PBE
Structure: relaxed

Structure (POSCAR):
```
Mo2HPb
1.0
-2.550 2.550 5.037
2.550 -2.550 5.037
2.550 2.550 -5.037
Mo H Pb
4 2 2
Cartesian
0.000 0.000 0.000
1.275 1.275 -2.519
1.275 -1.275 2.519
0.000 2.550 0.000
2.550 -1.275 3.778
0.000 3.826 1.259
2.550 1.275 1.259
0.000 1.275 3.778
```

Output
- ΔE to the lowest computed polymorph: 0.000 eV per atom
- Symmetry: I4_1/amd (141)
- Volume: 16.4 A^3/atom

Compound: Mo2HPb
Source: Alexandria
Functional: GGA-PBE
Structure: relaxed

Structure (POSCAR):
```
Mo2HPb
1.0
0.000 3.175 3.175
3.175 0.000 3.175
3.175 3.175 0.000
Mo H Pb
2 1 1
Cartesian
1.588 1.588 1.588
4.763 4.763 4.763
0.000 0.000 0.000
3.175 3.175 3.175
```

Output
- ΔE to the lowest computed polymorph: 0.722 eV per atom
- Symmetry: Fm-3m (225)
- Volume: 16.0 A^3/atom

Compound: MoH2PtPb
Source: Alexandria
Functional: GGA-PBE
Structure: relaxed

Structure (POSCAR):
```
MoH2PtPb
1.0
3.821 0.000 0.000
0.000 3.821 0.000
0.000 0.000 5.794
Mo H Pt Pb
1 2 1 1
Cartesian
0.000 0.000 0.000
0.000 1.910 2.897
1.910 0.000 2.897
1.910 1.910 0.000
1.910 1.910 2.897
```

Output
- Symmetry: P4/mmm (123)
- Volume: 16.9 A^3/atom
- Energy: -4.564 eV/atom

Compound: Re2MoHPb
Source: Alexandria
Functional: GGA-PBE
Structure: relaxed

Structure (POSCAR):
```
Re2MoHPb
1.0
4.940 0.000 0.000
0.000 4.940 0.000
0.000 0.000 3.361
Re Mo H Pb
2 1 1 1
Cartesian
0.000 2.470 0.000
2.470 0.000 0.000
0.000 0.000 0.000
0.000 0.000 1.680
2.470 2.470 1.680
```

Output
- Symmetry: P4/mmm (123)
- Volume: 16.4 A^3/atom
- Energy: -7.243 eV/atom

Compound: MoHRh2Pb
Source: Alexandria
Functional: GGA-PBE
Structure: relaxed

Structure (POSCAR):
```
MoHRh2Pb
1.0
3.950 0.000 0.000
0.000 3.950 0.000
0.000 0.000 4.518
Mo H Rh Pb
1 1 2 1
Cartesian
0.000 0.000 0.000
1.975 1.975 2.259
0.000 1.975 2.259
1.975 0.000 2.259
1.975 1.975 0.000
```

Output
- Symmetry: P4/mmm (123)
- Volume: 14.1 A^3/atom
- Energy: -6.126 eV/atom

Compound: MoHPd3
Source: Alexandria
Functional: GGA-PBE
Structure: relaxed

Structure (POSCAR):
```
MoHPd3
1.0
4.828 0.000 0.000
0.000 4.828 0.000
0.000 0.000 4.828
Mo H Pd
1 1 3
Cartesian
0.000 0.000 0.000
2.414 2.414 2.414
0.000 0.000 2.414
0.000 2.414 0.000
2.414 0.000 0.000
```

Output
- ΔE to the lowest computed polymorph: 1.471 eV per atom
- Symmetry: Pm-3m (221)
- Volume: 22.5 A^3/atom

Compound: Mo2H2Pd
Source: Alexandria
Functional: GGA-PBE
Structure: relaxed

Structure (POSCAR):
```
Mo2H2Pd
1.0
-1.749 1.749 4.292
1.749 -1.749 4.292
1.749 1.749 -4.292
Mo H Pd
2 2 1
Cartesian
0.000 0.000 1.366
0.000 0.000 7.219
1.749 0.000 2.146
0.000 1.749 2.146
0.000 0.000 4.292
```

Output
- ΔE to the lowest computed polymorph: 0.000 eV per atom
- Symmetry: I4/mmm (139)
- Volume: 10.5 A^3/atom

Compound: MoH3Pd
Source: Alexandria
Functional: GGA-PBE
Structure: relaxed

Structure (POSCAR):
```
MoH3Pd
1.0
3.443 0.000 0.000
0.000 3.443 0.000
0.000 0.000 3.443
Mo H Pd
1 3 1
Cartesian
0.000 0.000 0.000
0.000 1.721 1.721
1.721 0.000 1.721
1.721 1.721 0.000
1.721 1.721 1.721
```

Output
- ΔE to the lowest computed polymorph: 0.038 eV per atom
- Symmetry: Pm-3m (221)
- Volume: 8.2 A^3/atom

Compound: MoHPd3
Source: Alexandria
Functional: GGA-PBE
Structure: relaxed

Structure (POSCAR):
```
MoHPd3
1.0
4.031 0.000 0.000
0.000 4.031 0.000
0.000 0.000 4.031
Mo H Pd
1 1 3
Cartesian
0.000 0.000 0.000
2.015 2.015 2.015
0.000 2.015 2.015
2.015 0.000 2.015
2.015 2.015 0.000
```

Output
- ΔE to the lowest computed polymorph: 0.000 eV per atom
- Symmetry: Pm-3m (221)
- Volume: 13.1 A^3/atom

Compound: MoH2Pd
Source: Alexandria
Functional: GGA-PBE
Structure: relaxed

Structure (POSCAR):
```
MoH2Pd
1.0
1.462 0.844 5.194
-1.462 0.844 5.194
0.000 -1.688 5.194
Mo H Pd
1 2 1
Cartesian
0.000 0.000 0.000
0.000 0.000 6.040
0.000 0.000 9.541
0.000 0.000 7.791
```

Output
- ΔE to the lowest computed polymorph: 0.043 eV per atom
- Symmetry: R-3m (166)
- Volume: 9.6 A^3/atom

Compound: MoH2Pd
Source: Alexandria
Functional: GGA-PBE
Structure: relaxed

Structure (POSCAR):
```
MoH2Pd
1.0
1.444 0.833 5.117
-1.444 0.833 5.117
0.000 -1.667 5.117
Mo H Pd
1 2 1
Cartesian
0.000 0.000 0.000
0.000 0.000 6.112
0.000 0.000 9.213
0.000 0.000 12.617
```

Output
- ΔE to the lowest computed polymorph: 0.000 eV per atom
- Symmetry: R3m (160)
- Volume: 9.2 A^3/atom